## Ce2ScAu6 (PBE-GGA)

Data for Ce2ScAu6 after structural relaxation.

a = 5.249 Å, b = 5.300 Å, c = 8.629 Å
α = 72.11°, β = 81.06°, γ = 59.59°
Last column: magnetic moment on the atom in μB.
Positions (direct):
Au (0.330, 0.327, 0.500)  0.00
Au (0.166, 0.517, 0.810)  0.00
Au (0.166, 0.826, 0.190)  0.00
Au (0.834, 0.174, 0.810)  0.00
Au (0.834, 0.483, 0.190)  0.00
Au (0.670, 0.673, 0.500)  0.00
Ce (0.500, 0.167, 0.165)  0.65
Ce (0.500, 0.833, 0.835)  0.65
Sc (0.000, 0.000, 0.500)  0.02

Formation enthalpy at 0 K   -0.6265 eV per atom